No. 1
## LiSi2Pb (GGA-PBE)

Data for a relaxed LiSi2Pb crystal.

Cell: 3.4858 3.4858 6.5689 Å, 90.00 90.00 90.00°
Sites, in units of the cell vectors:
Li 0.0000 0.0000 0.0000
Si 0.5000 0.5000 0.1844
Si 0.5000 0.5000 0.8156
Pb 0.0000 0.0000 0.5000

Values from the calculation:
- Total magnetization: 0.00 μB per cell
- Calculated total energy: -15.313 eV per cell

---

No. 2
## LiV2SiPb (GGA-PBE)

Data for a relaxed LiV2SiPb crystal.

Cell: 4.4794 4.4794 4.2033 Å, 90.00 90.00 90.00°
Sites, in units of the cell vectors:
Li 0.0000 0.0000 0.0000
V 0.0000 0.5000 0.0000
V 0.5000 0.0000 0.0000
Si 0.0000 0.0000 0.5000
Pb 0.5000 0.5000 0.5000

Values from the calculation:
- Total magnetization: 3.62 μB per cell
- Calculated total energy: -24.772 eV per cell

---

No. 3
## LiV2SiPb (GGA-PBE)

Data for a relaxed LiV2SiPb crystal.

Cell: 4.5280 4.5280 4.4595 Å, 90.00 90.00 90.00°
Sites, in units of the cell vectors:
Li 0.0000 0.0000 0.0000
V 0.0000 0.5000 0.5000
V 0.5000 0.0000 0.5000
Si 0.0000 0.0000 0.5000
Pb 0.5000 0.5000 0.0000

Values from the calculation:
- Total magnetization: 0.00 μB per cell
- Calculated total energy: -26.973 eV per cell

---

Number 1: uncorrected formation energy 6.66 kcal/mol of atoms, calculated volume 79.8 Å³/cell. Number 2: uncorrected formation energy 20.80 kcal/mol of atoms, calculated volume 84.3 Å³/cell. Number 3: uncorrected formation energy 10.65 kcal/mol of atoms, calculated volume 91.4 Å³/cell.